1.
The following is a PBE calculation of an optimized crystal structure of AcNiP2Ir2, from the Alexandria database.

Energy of formation: -0.688 eV per atom
Electronic total energy: -7.0933 eV per atom
Space group: No. 58
Crystal system: orthorhombic
Total magnetization: 0.000 Bohr magnetons per cell

The structure in POSCAR format:
```
AcNiP2Ir2
1.0
6.029 0.000 0.000
0.000 9.630 0.000
0.000 0.000 3.987
Ac Ni P Ir
2 2 4 4
direct
0.000 0.000 0.000
0.500 0.500 0.500
0.000 0.500 0.000
0.500 0.000 0.500
0.192 0.311 0.000
0.308 0.811 0.500
0.692 0.189 0.500
0.808 0.689 0.000
0.004 0.680 0.500
0.496 0.180 0.000
0.504 0.820 0.000
0.996 0.320 0.500
```

***

2.
The following is a PBE calculation of an optimized crystal structure of Ac2Ni3P4Ir, from the Alexandria database.

Energy of formation: -0.878 eV per atom
Electronic total energy: -6.4845 eV per atom
Space group: No. 115
Crystal system: tetragonal
Total magnetization: 0.000 Bohr magnetons per cell

The structure in POSCAR format:
```
Ac2Ni3P4Ir
1.0
4.182 0.000 0.000
0.000 4.182 0.000
0.000 0.000 9.698
Ac Ni P Ir
2 3 4 1
direct
0.000 0.500 0.241
0.500 0.000 0.759
0.000 0.500 0.894
0.500 0.000 0.106
0.500 0.500 0.500
0.000 0.000 0.000
0.000 0.500 0.629
0.500 0.000 0.371
0.500 0.500 0.000
0.000 0.000 0.500
```

***

3.
The following is a PBE calculation of an optimized crystal structure of Ac2Ni12P3Ir, from the Alexandria database.

Energy of formation: 0.008 eV per atom
Electronic total energy: -5.6969 eV per atom
Space group: No. 166
Crystal system: trigonal
Total magnetization: 0.000 Bohr magnetons per cell

The structure in POSCAR format:
```
Ac2Ni12P3Ir
1.0
3.838 2.216 5.966
-3.838 2.216 5.966
0.000 -4.432 5.966
Ac Ni P Ir
2 12 3 1
direct
0.116 0.116 0.116
0.884 0.884 0.884
0.124 0.615 0.615
0.163 0.163 0.597
0.163 0.597 0.163
0.385 0.385 0.876
0.385 0.876 0.385
0.403 0.837 0.837
0.597 0.163 0.163
0.615 0.124 0.615
0.615 0.615 0.124
0.837 0.403 0.837
0.837 0.837 0.403
0.876 0.385 0.385
0.000 0.500 0.500
0.500 0.000 0.500
0.500 0.500 0.000
0.500 0.500 0.500
```

***

4.
The following is a PBE calculation of an optimized crystal structure of Ac6NiIr2Pd, from the Alexandria database.

Energy of formation: -0.523 eV per atom
Electronic total energy: -5.8577 eV per atom
Space group: No. 1
Crystal system: triclinic
Total magnetization: 0.000 Bohr magnetons per cell

The structure in POSCAR format:
```
Ac6NiIr2Pd
1.0
7.517 0.000 0.000
3.749 6.518 0.000
3.758 2.173 6.980
Ac Ni Ir Pd
6 1 2 1
direct
0.000 0.000 0.000
0.140 0.854 0.494
0.331 0.345 0.000
0.506 0.190 0.494
0.655 0.677 0.000
0.843 0.487 0.494
0.917 0.264 0.233
0.245 0.591 0.252
0.741 0.088 0.762
0.419 0.765 0.727
```

***

5.
The following is a PBE calculation of an optimized crystal structure of AcPmNiIr, from the Alexandria database.

Energy relative to the lowest polymorph listed for this composition: 0 kJ/mol of formula units
Energy of formation: -0.482 eV per atom
Electronic total energy: -6.3578 eV per atom
Space group: No. 38
Crystal system: orthorhombic
Total magnetization: 0.000 Bohr magnetons per cell

The structure in POSCAR format:
```
AcPmNiIr
1.0
4.239 0.000 0.000
0.000 4.061 0.000
0.000 0.000 11.265
Ac Pm Ni Ir
2 2 2 2
direct
0.000 0.000 0.000
0.000 0.500 0.500
0.500 0.000 0.722
0.500 0.500 0.222
0.500 0.000 0.427
0.500 0.500 0.927
0.000 0.000 0.279
0.000 0.500 0.779
```

***

6.
The following is a PBE calculation of an optimized crystal structure of AcPmNiIr, from the Alexandria database.

Energy relative to the lowest polymorph listed for this composition: 41 kJ/mol of formula units
Energy of formation: -0.376 eV per atom
Electronic total energy: -6.2514 eV per atom
Space group: No. 216
Crystal system: cubic
Total magnetization: 0.000 Bohr magnetons per cell

The structure in POSCAR format:
```
AcPmNiIr
1.0
7.200 0.000 0.000
0.000 7.200 0.000
0.000 0.000 7.200
Ac Pm Ni Ir
4 4 4 4
direct
0.000 0.000 0.000
0.000 0.500 0.500
0.500 0.000 0.500
0.500 0.500 0.000
0.000 0.000 0.500
0.000 0.500 0.000
0.500 0.000 0.000
0.500 0.500 0.500
0.250 0.250 0.250
0.250 0.750 0.750
0.750 0.250 0.750
0.750 0.750 0.250
0.250 0.250 0.750
0.250 0.750 0.250
0.750 0.250 0.250
0.750 0.750 0.750
```